#1
## Li2SbHPb (PBE-GGA)

Data for an optimized crystal structure of Li2SbHPb.

Lattice parameters (Å, degrees): 4.5675 4.5675 4.6726 90.00 90.00 90.00
With the nearest neighbours (Å) after each atom.
Space group P4/mmm (No. 123)
Inequivalent atoms, fractional coordinates:
Li: 0.0000 0.5000 0.0000 (multiplicity 2)  2 H 2.28
Sb: 0.0000 0.0000 0.5000 (multiplicity 1)  4 Pb 3.23, 8 Li 3.27
H: 0.5000 0.5000 0.0000 (multiplicity 1)  4 Li 2.28, 2 Pb 2.34
Pb: 0.5000 0.5000 0.5000 (multiplicity 1)  2 H 2.34

=====

#2
## Li2SbHPb (PBE-GGA)

Data for an optimized crystal structure of Li2SbHPb.

Lattice parameters (Å, degrees): 4.6001 4.6001 4.4863 90.00 90.00 90.00
With the nearest neighbours (Å) after each atom.
Space group P4/mmm (No. 123)
Inequivalent atoms, fractional coordinates:
Li: 0.0000 0.5000 0.0000 (multiplicity 2)  2 H 2.30
Sb: 0.0000 0.0000 0.5000 (multiplicity 1)  2 H 2.24
H: 0.0000 0.0000 0.0000 (multiplicity 1)  2 Sb 2.24, 4 Li 2.30
Pb: 0.5000 0.5000 0.5000 (multiplicity 1)  8 Li 3.21, 4 Sb 3.25

=====

Most stable one: #1, least stable one: #2.

=====

#1
## SrLi2HPb (PBE-GGA)

Data for an optimized crystal structure of SrLi2HPb.

Lattice parameters (Å, degrees): 4.8488 4.8488 4.9094 90.00 90.00 90.00
With the nearest neighbours (Å) after each atom.
Space group P4/mmm (No. 123)
Inequivalent atoms, fractional coordinates:
Sr: 0.0000 0.0000 0.0000 (multiplicity 1)  4 Pb 3.43, 8 Li 3.45
Li: 0.0000 0.5000 0.5000 (multiplicity 2)  2 H 2.42
H: 0.5000 0.5000 0.5000 (multiplicity 1)  4 Li 2.42, 2 Pb 2.45
Pb: 0.5000 0.5000 0.0000 (multiplicity 1)  2 H 2.45

=====

#2
## SrLi2HPb (PBE-GGA)

Data for an optimized crystal structure of SrLi2HPb.

Lattice parameters (Å, degrees): 4.7535 4.7535 4.8507 90.00 90.00 90.00
With the nearest neighbours (Å) after each atom.
Space group P4/mmm (No. 123)
Inequivalent atoms, fractional coordinates:
Sr: 0.0000 0.0000 0.0000 (multiplicity 1)  2 H 2.43
Li: 0.0000 0.5000 0.5000 (multiplicity 2)  2 H 2.38
H: 0.0000 0.0000 0.5000 (multiplicity 1)  4 Li 2.38, 2 Sr 2.43
Pb: 0.5000 0.5000 0.0000 (multiplicity 1)  4 Sr 3.36, 8 Li 3.40

=====

Most stable one: #2, least stable one: #1.

=====

#1
## LiHPd4 (PBE-GGA)

Data for an optimized crystal structure of LiHPd4.

Lattice parameters (Å, degrees): 7.5776 7.5776 5.5582 90.00 90.00 90.00
With the nearest neighbours (Å) after each atom.
Space group I4_1md (No. 109)
Inequivalent atoms, fractional coordinates:
Li: 0.0000 0.0000 0.0000 (multiplicity 4)  1 H 1.83
H: 0.0000 0.0000 0.3293 (multiplicity 4)  2 Pd 1.72, 1 Li 1.83
Pd: 0.0000 0.2197 0.4089 (multiplicity 8)  1 H 1.72
Pd: 0.0000 0.2922 0.9152 (multiplicity 8)  2 Li 2.26-2.44, 1 H 2.44

=====

#2
## LiHPd4 (PBE-GGA)

Data for an optimized crystal structure of LiHPd4.

Lattice parameters (Å, degrees): 4.8633 9.4199 7.1430 90.00 107.14 90.00
With the nearest neighbours (Å) after each atom.
Space group C2/c (No. 15)
Inequivalent atoms, fractional coordinates:
Li: 0.0000 0.0895 0.2500 (multiplicity 4)  8 Pd 2.60-2.82, 2 H 2.63
H: 0.0000 0.4841 0.2500 (multiplicity 4)  4 Pd 1.86-1.90
Pd: 0.1341 0.3835 0.9490 (multiplicity 8)  1 H 1.86
Pd: 0.2124 0.1562 0.6514 (multiplicity 8)  1 H 1.90

=====

Most stable one: #2, least stable one: #1.

=====

#1
## LiHPd3 (PBE-GGA)

Data for an optimized crystal structure of LiHPd3.

Lattice parameters (Å, degrees): 3.7636 3.7636 6.4467 90.00 90.00 90.00
With the nearest neighbours (Å) after each atom.
Space group P4mm (No. 99)
Inequivalent atoms, fractional coordinates:
Li: 0.0000 0.0000 0.0000 (multiplicity 1)  5 Pd 2.51-2.70
H: 0.5000 0.5000 0.2557 (multiplicity 1)  4 Pd 1.90
Pd: 0.0000 0.0000 0.6102 (multiplicity 1)  1 Li 2.51, 4 Pd 2.75
Pd: 0.0000 0.5000 0.2996 (multiplicity 2)  2 H 1.90

=====

#2
## LiHPd3 (PBE-GGA)

Data for an optimized crystal structure of LiHPd3.

Lattice parameters (Å, degrees): 4.8881 5.5723 4.8889 90.00 110.63 90.00
With the nearest neighbours (Å) after each atom.
Space group P2_1/m (No. 11)
Inequivalent atoms, fractional coordinates:
Li: 0.2455 0.2500 0.2539 (multiplicity 2)  1 H 2.20
H: 0.4791 0.7500 0.0174 (multiplicity 2)  5 Pd 1.90-1.99
Pd: 0.2440 0.7500 0.2559 (multiplicity 2)  1 H 1.90
Pd: 0.2490 0.0001 0.7488 (multiplicity 4)  2 H 1.97-1.99

=====

#3
## LiHPd3 (PBE-GGA)

Data for an optimized crystal structure of LiHPd3.

Lattice parameters (Å, degrees): 3.6150 3.6150 12.3888 90.00 90.00 120.00
With the nearest neighbours (Å) after each atom.
Space group P6_3/mmc (No. 194)
Inequivalent atoms, fractional coordinates:
Li: 0.3333 0.6667 0.2500 (multiplicity 2)  5 Pd 2.09-2.26
H: 0.0000 0.0000 0.0000 (multiplicity 2)  6 Pd 2.25
Pd: 0.0000 0.0000 0.2500 (multiplicity 2)  3 Li 2.09
Pd: 0.3333 0.6667 0.0673 (multiplicity 4)  3 H 2.25, 1 Li 2.26

=====

#4
## LiHPd3 (PBE-GGA)

Data for an optimized crystal structure of LiHPd3.

Lattice parameters (Å, degrees): 3.9405 3.9650 8.0314 90.00 90.15 90.00
With the nearest neighbours (Å) after each atom.
Space group P2_1/m (No. 11)
Inequivalent atoms, fractional coordinates:
Li: 0.9998 0.2500 0.1340 (multiplicity 2)  10 Pd 2.72-2.81, 2 Li 2.93
H: 0.4972 0.7500 0.3449 (multiplicity 2)  5 Pd 1.86-1.99
Pd: 0.0003 0.2500 0.6308 (multiplicity 2)  2 H 1.97-1.99
Pd: 0.5004 0.2500 0.3687 (multiplicity 2)  2 H 1.99
Pd: 0.5001 0.2500 0.8861 (multiplicity 2)  1 H 1.86

=====

Most stable one: #2, least stable one: #3.

=====

#1
## LiHPd3 (PBE-GGA)

Data for an optimized crystal structure of LiHPd3.

Lattice parameters (Å, degrees): 10.5082 10.5082 10.5082 90.00 90.00 90.00
With the nearest neighbours (Å) after each atom.
Space group Fd-3m (No. 227, origin choice 2)
Inequivalent atoms, fractional coordinates:
Li: 0.0000 0.0000 0.0000 (multiplicity 16)  6 Pd 2.68
H: 0.0000 0.0000 0.5000 (multiplicity 16)  6 Pd 1.98
Pd: 0.0659 0.3750 0.8750 (multiplicity 48)  2 H 1.98

=====

#2
## LiHPd3 (PBE-GGA)

Data for an optimized crystal structure of LiHPd3.

Lattice parameters (Å, degrees): 13.1840 2.7629 9.0944 90.00 129.22 90.00
With the nearest neighbours (Å) after each atom.
Space group C2/m (No. 12)
Inequivalent atoms, fractional coordinates:
Li: 0.0688 0.0000 0.2052 (multiplicity 4)  4 H 2.26-2.40
H: 0.0947 0.5000 0.0150 (multiplicity 4)  2 Pd 1.74
Pd: 0.0715 0.0000 0.6880 (multiplicity 4)  1 Li 2.58, 10 Pd 2.66-2.86
Pd: 0.1730 0.5000 0.5299 (multiplicity 4)  3 Li 2.65-2.72, 9 Pd 2.76-2.86
Pd: 0.1945 0.0000 0.0747 (multiplicity 4)  2 H 1.74

=====

Most stable one: #2, least stable one: #1.

=====

#1
## LiHPd3 (PBE-GGA)

Data for an optimized crystal structure of LiHPd3.

Lattice parameters (Å, degrees): 5.4988 12.3227 5.0247 90.00 90.00 90.00
With the nearest neighbours (Å) after each atom.
Space group Cmcm (No. 63)
Inequivalent atoms, fractional coordinates:
Li: 0.0000 0.1702 0.2500 (multiplicity 4)  4 Pd 2.44-2.48
H: 0.0000 0.4121 0.2500 (multiplicity 4)  2 Pd 1.69
Pd: 0.0000 0.0000 0.0000 (multiplicity 4)  2 Li 2.44, 6 Pd 2.51-2.74
Pd: 0.2441 0.1644 0.7500 (multiplicity 8)  1 H 1.69

=====

#2
## LiHPd3 (PBE-GGA)

Data for an optimized crystal structure of LiHPd3.

Lattice parameters (Å, degrees): 5.2525 5.2525 9.9057 90.00 90.00 90.00
With the nearest neighbours (Å) after each atom.
Space group I-4m2 (No. 119)
Inequivalent atoms, fractional coordinates:
Li: 0.0000 0.0000 0.1398 (multiplicity 4)  8 Pd 2.63-2.94, 1 Li 2.77, 2 H 2.84
H: 0.0000 0.0000 0.5000 (multiplicity 2)  4 Pd 1.81
H: 0.0000 0.5000 0.2500 (multiplicity 2)  4 Pd 1.80
Pd: 0.0000 0.2484 0.3731 (multiplicity 8)  2 H 1.80-1.81
Pd: 0.0000 0.5000 0.6184 (multiplicity 4)  3 Pd 2.61-2.77, 2 Li 2.63, 2 H 2.88

=====

Most stable one: #2, least stable one: #1.

=====

#1
## LiHPd3 (PBE-GGA)

Data for an optimized crystal structure of LiHPd3.

Lattice parameters (Å, degrees): 11.6758 8.3147 5.3424 90.00 104.77 90.00
With the nearest neighbours (Å) after each atom.
Space group C2/c (No. 15)
Inequivalent atoms, fractional coordinates:
Li: 0.0000 0.1391 0.2500 (multiplicity 4)  3 Li 2.58-2.68, 8 Pd 2.61-2.80
Li: 0.0000 0.1714 0.7500 (multiplicity 4)  2 H 2.33, 4 Pd 2.41-2.47, 1 Li 2.58
H: 0.0920 0.4221 0.7714 (multiplicity 8)  3 Pd 1.76-1.82
Pd: 0.1071 0.3875 0.1133 (multiplicity 8)  2 H 1.81-1.82
Pd: 0.1716 0.2807 0.6372 (multiplicity 8)  1 H 1.76
Pd: 0.1772 0.0357 0.0187 (multiplicity 8)  2 Li 2.47-2.63, 1 H 2.66, 4 Pd 2.68-2.74

=====

#2
## LiHPd3 (PBE-GGA)

Data for an optimized crystal structure of LiHPd3.

Lattice parameters (Å, degrees): 4.8747 4.8747 19.9452 90.00 90.00 120.00
With the nearest neighbours (Å) after each atom.
Space group R-3 (No. 148, hexagonal axes)
Inequivalent atoms, fractional coordinates:
Li: 0.0000 0.0000 0.1666 (multiplicity 6)  6 Pd 2.65-2.66, 3 Li 2.81
H: 0.0000 0.0000 0.3610 (multiplicity 6)  3 Pd 1.79
Pd: 0.0020 0.6610 0.6057 (multiplicity 18)  1 H 1.79

=====

Most stable one: #1, least stable one: #2.

=====

#1
## LiH2Pd4 (PBE-GGA)

Data for an optimized crystal structure of LiH2Pd4.

Lattice parameters (Å, degrees): 5.2246 5.2254 6.9766 103.82 108.10 105.14
With the nearest neighbours (Å) after each atom.
Space group P1 (No. 1)
Inequivalent atoms, fractional coordinates:
Li: 0.0000 0.0000 0.0000 (multiplicity 1)  2 H 2.36-2.37, 6 Pd 2.50-2.62
Li: 0.3451 0.8442 0.4997 (multiplicity 1)  2 H 2.23
H: 0.1920 0.0443 0.7403 (multiplicity 1)  3 Pd 1.79-1.83
H: 0.3049 0.4523 0.2596 (multiplicity 1)  3 Pd 1.79-1.82
H: 0.4936 0.9001 0.1398 (multiplicity 1)  4 Pd 1.84-1.91
H: 0.7605 0.3573 0.8605 (multiplicity 1)  4 Pd 1.84-1.91
Pd: 0.0158 0.3178 0.3375 (multiplicity 1)  1 H 1.79
Pd: 0.1480 0.5891 0.0535 (multiplicity 1)  3 H 1.82-1.90
Pd: 0.4862 0.5048 0.7557 (multiplicity 1)  1 H 1.84
Pd: 0.4903 0.2205 0.3388 (multiplicity 1)  2 H 1.82-1.91
Pd: 0.5347 0.0947 0.9458 (multiplicity 1)  3 H 1.82-1.91
Pd: 0.7481 0.7307 0.2433 (multiplicity 1)  1 H 1.84
Pd: 0.8808 0.1519 0.6614 (multiplicity 1)  2 H 1.83-1.91
Pd: 0.9788 0.6785 0.6612 (multiplicity 1)  1 H 1.79

=====

#2
## LiH2Pd4 (PBE-GGA)

Data for an optimized crystal structure of LiH2Pd4.

Lattice parameters (Å, degrees): 4.9027 5.5250 7.1239 80.79 69.92 63.67
With the nearest neighbours (Å) after each atom.
Space group P1 (No. 1)
Inequivalent atoms, fractional coordinates:
Li: 0.0000 0.0000 0.0000 (multiplicity 1)  2 H 2.12
Li: 0.2489 0.5014 0.4998 (multiplicity 1)  2 H 2.10
H: 0.4169 0.7623 0.2973 (multiplicity 1)  3 Pd 1.79-1.85
H: 0.4293 0.7332 0.8002 (multiplicity 1)  3 Pd 1.80-1.85
H: 0.4749 0.2386 0.7018 (multiplicity 1)  3 Pd 1.79-1.86
H: 0.9600 0.2683 0.1997 (multiplicity 1)  3 Pd 1.80-1.86
Pd: 0.1186 0.4402 0.9000 (multiplicity 1)  1 H 1.84
Pd: 0.2669 0.9357 0.5993 (multiplicity 1)  1 H 1.85
Pd: 0.3842 0.0883 0.1960 (multiplicity 1)  2 H 1.79-1.86
Pd: 0.4595 0.5601 0.0991 (multiplicity 1)  1 H 1.84
Pd: 0.6690 0.9130 0.8036 (multiplicity 1)  2 H 1.79-1.85
Pd: 0.7277 0.4112 0.6960 (multiplicity 1)  2 H 1.80-1.86
Pd: 0.8004 0.0665 0.4004 (multiplicity 1)  1 H 1.84
Pd: 0.8350 0.5907 0.3029 (multiplicity 1)  2 H 1.80-1.85

=====

#3
## LiH2Pd4 (PBE-GGA)

Data for an optimized crystal structure of LiH2Pd4.

Lattice parameters (Å, degrees): 4.2544 4.2544 9.2229 90.00 90.00 90.00
With the nearest neighbours (Å) after each atom.
Space group I4/mmm (No. 139)
Inequivalent atoms, fractional coordinates:
Li: 0.0000 0.0000 0.0000 (multiplicity 2)  4 Pd 2.13
H: 0.0000 0.0000 0.4327 (multiplicity 4)  1 H 1.24
Pd: 0.0000 0.0000 0.2592 (multiplicity 4)  1 H 1.60
Pd: 0.0000 0.5000 0.0000 (multiplicity 4)  2 Li 2.13, 4 H 2.22

=====

Most stable one: #2, least stable one: #3.